No. 1
Computed, not measured: a geometry-optimized CeZr2BeN4 structure at the PBE-GGA level of DFT.

Structure (extended XYZ):
```
16
Lattice="3.256 0.000 0.000 -1.628 5.442 0.000 0.000 0.000 10.880" Properties=species:S:1:pos:R:3 pbc="T T T"
Ce 0.000 1.110 8.160
Ce 1.628 4.332 2.720
Zr 0.000 4.015 6.001
Zr 1.628 1.427 0.561
Zr 1.628 1.427 4.879
Zr 0.000 4.015 10.319
Be 1.628 3.555 8.160
Be 0.000 1.887 2.720
N 0.000 2.898 1.342
N 1.628 2.544 6.782
N 1.628 2.544 9.538
N 0.000 2.898 4.098
N 0.000 0.000 5.440
N 0.000 0.000 0.000
N 0.000 4.562 8.160
N 1.628 0.880 2.720
```

Computed properties:
density = 6.68 g/cm³
uncorrected formation energy = -1.513 eV per atom
total DFT energy (no corrections) = -9.02 eV/atom
DOS(E_F) = 5.41 states/eV/f.u.
space-group type = Cmcm

---

No. 2
Computed, not measured: a geometry-optimized AgTeAu structure at the PBE-GGA level of DFT.

Structure (extended XYZ):
```
6
Lattice="5.619 0.809 -1.282 0.725 5.664 -1.294 -1.306 -1.474 5.162" Properties=species:S:1:pos:R:3 pbc="T T T"
Ag 4.674 1.933 1.293
Ag 1.131 2.976 3.517
Te 2.140 1.818 -0.369
Te 4.971 4.564 0.017
Au 3.476 0.615 3.556
Au 2.329 4.293 1.254
```

Computed properties:
density = 9.99 g/cm³
uncorrected formation energy = 0.075 eV per atom
total DFT energy (no corrections) = -3.01 eV/atom
DOS(E_F) = 0.56 states/eV/f.u.
space-group type = P-1

---

No. 3
Computed, not measured: a geometry-optimized ZnIrOs4 structure at the PBE-GGA level of DFT.

Structure (extended XYZ):
```
6
Lattice="-2.989 -2.046 3.621 -2.288 3.024 3.442 -5.071 0.694 -0.172" Properties=species:S:1:pos:R:3 pbc="T T T"
Zn -2.587 0.418 1.723
Ir 0.000 0.000 0.000
Os -3.927 0.697 4.396
Os -5.324 -0.472 2.583
Os -6.473 1.046 4.310
Os -4.972 2.073 2.493
```

Computed properties:
density = 17.81 g/cm³
total DFT energy (no corrections) = -8.32 eV/atom
DOS(E_F) = 9.88 states/eV/f.u.
space-group type = F-43m
energy of formation from the pure elements = 0.8598 eV per atom

---

No. 4
Computed, not measured: a geometry-optimized Zr2ScRe structure at the PBE-GGA level of DFT.

Structure (extended XYZ):
```
4
Lattice="3.313 0.000 0.000 0.000 3.313 0.000 0.000 0.000 7.585" Properties=species:S:1:pos:R:3 pbc="T T T"
Re 0.000 0.000 3.724
Sc 1.657 1.657 5.323
Zr 0.000 0.000 0.141
Zr 1.657 1.657 2.189
```

Computed properties:
density = 8.25 g/cm³
total DFT energy (no corrections) = -9.02 eV/atom
DOS(E_F) = 4.59 states/eV/f.u.
space-group type = P4mm
energy of formation from the pure elements = -0.0499 eV per atom

---

No. 5
Computed, not measured: a geometry-optimized Hf2ScGa2 structure at the PBE-GGA level of DFT.

Structure (extended XYZ):
```
10
Lattice="8.229 0.000 0.000 0.000 8.229 0.000 0.000 0.000 2.986" Properties=species:S:1:pos:R:3 pbc="T T T"
Sc 0.000 0.000 0.000
Sc 4.114 4.114 0.000
Hf 3.067 7.182 0.000
Hf 7.182 5.161 0.000
Hf 5.161 1.047 0.000
Hf 1.047 3.067 0.000
Ga 1.403 5.518 1.493
Ga 5.518 6.825 1.493
Ga 6.825 2.711 1.493
Ga 2.711 1.403 1.493
```

Computed properties:
offset from the most stable computed form = 264 meV per atom
density = 8.89 g/cm³
total DFT energy (no corrections) = -6.64 eV/atom
DOS(E_F) = 2.38 states/eV/f.u.
space-group type = P4/mbm
energy of formation from the pure elements = -0.1848 eV per atom

---

No. 6
Computed, not measured: a geometry-optimized Sc3SbC structure at the PBE-GGA level of DFT.

Structure (extended XYZ):
```
20
Lattice="-2.941 -1.275 5.537 3.169 -8.483 -0.270 5.223 1.849 3.200" Properties=species:S:1:pos:R:3 pbc="T T T"
Sc 6.439 -7.379 3.489
Sc 2.179 -4.090 2.144
Sc 0.596 0.148 2.279
Sc 0.596 -4.767 4.843
Sc -0.987 -0.529 4.978
Sc 3.272 -3.818 6.323
Sc 4.855 -8.056 6.188
Sc 4.856 -3.141 3.624
Sc 4.543 -0.909 5.899
Sc 4.986 -5.438 1.396
Sc 0.908 -6.999 2.568
Sc 0.465 -2.470 7.071
Sb 1.934 -1.833 4.301
Sb -0.564 -7.637 5.335
Sb 3.518 -6.075 4.166
Sb 6.015 -0.271 3.132
C 2.612 0.925 1.600
C 0.114 -4.879 2.634
C -1.470 -0.637 2.769
C 4.196 -3.317 1.465
```

Computed properties:
density = 4.81 g/cm³
uncorrected formation energy = -0.778 eV per atom
total DFT energy (no corrections) = -7.25 eV/atom
DOS(E_F) = 2.78 states/eV/f.u.
space-group type = P4/mbm

---

No. 7
Computed, not measured: a geometry-optimized Cs2AcCdI6 structure at the PBE-GGA level of DFT.

Structure (extended XYZ):
```
20
Lattice="-0.679 -0.401 9.106 7.969 -4.585 0.392 6.403 11.212 0.971" Properties=species:S:1:pos:R:3 pbc="T T T"
Cs 7.334 -1.335 5.075
Cs 6.316 7.094 0.783
Cs 10.917 4.939 5.618
Cs 3.496 2.156 0.356
Ac 9.052 2.240 0.773
Ac 1.778 -1.419 4.657
Cd 4.786 4.298 5.133
Cd 6.044 -3.477 0.297
I 3.137 1.529 4.888
I 6.334 7.126 5.373
I 7.693 -0.708 0.542
I 10.900 4.906 1.029
I 10.884 0.986 3.169
I 10.547 0.788 7.681
I 6.805 3.344 2.838
I 6.449 3.134 7.610
I 3.703 -2.714 6.927
I 4.026 -2.524 2.593
I -0.053 -0.166 2.262
I -0.395 -0.368 6.855
```

Computed properties:
density = 4.17 g/cm³
uncorrected formation energy = -1.238 eV per atom
total DFT energy (no corrections) = -2.84 eV/atom
DOS(E_F) = 4.45 states/eV/f.u.
space-group type = Pmmn

---

No. 8
Computed, not measured: a geometry-optimized SrSm5Bi6 structure at the PBE-GGA level of DFT.

Structure (extended XYZ):
```
12
Lattice="-4.789 -3.603 5.253 4.401 -3.839 5.419 2.275 3.748 6.664" Properties=species:S:1:pos:R:3 pbc="T T T"
Sr 0.000 0.000 0.000
Sm -0.143 0.096 7.999
Sm 2.226 -0.016 4.038
Sm -0.194 -3.721 5.336
Sm 4.451 -0.075 8.045
Sm 2.031 -3.790 9.337
Bi -2.409 -1.729 6.654
Bi 2.072 -1.837 6.724
Bi -0.075 -1.902 2.727
Bi -0.313 -5.540 7.945
Bi -0.185 -1.858 10.613
Bi 4.296 -1.966 10.683
```

Computed properties:
density = 8.41 g/cm³
total DFT energy (no corrections) = -4.93 eV/atom
DOS(E_F) = 3.97 states/eV/f.u.
space-group type = C2/m
energy of formation from the pure elements = -0.8844 eV per atom

---

No. 9
Computed, not measured: a geometry-optimized Cs2CuSi2 structure at the PBE-GGA level of DFT.

Structure (extended XYZ):
```
10
Lattice="6.670 0.000 0.000 0.000 6.670 0.000 0.000 0.000 6.218" Properties=species:S:1:pos:R:3 pbc="T T T"
Cs 1.216 4.551 3.109
Cs 4.551 5.454 3.109
Cs 5.454 2.119 3.109
Cs 2.119 1.216 3.109
Si 2.476 5.811 0.000
Si 5.811 4.194 0.000
Si 4.194 0.859 0.000
Si 0.859 2.476 0.000
Cu 0.000 0.000 0.000
Cu 3.335 3.335 0.000
```

Computed properties:
offset from the most stable computed form = 91 meV per atom
density = 4.63 g/cm³
uncorrected formation energy = 0.440 eV per atom
total DFT energy (no corrections) = -2.89 eV/atom
DOS(E_F) = 3.06 states/eV/f.u.
space-group type = P4/mbm

---

No. 10
Computed, not measured: a geometry-optimized Ba2InAg10 structure at the PBE-GGA level of DFT.

Structure (extended XYZ):
```
26
Lattice="-0.290 3.451 4.658 3.741 -5.736 4.484 12.846 5.702 -3.425" Properties=species:S:1:pos:R:3 pbc="T T T"
Ba 12.436 5.311 0.456
Ba 3.861 -1.894 5.261
Ba 10.436 0.724 3.730
Ba 5.862 2.692 1.987
In 8.294 -0.017 0.529
In 0.000 0.000 0.000
Ag 7.167 1.940 -0.991
Ag 9.131 1.476 6.708
Ag 15.228 1.820 -0.400
Ag 1.069 1.597 6.117
Ag 12.245 -1.834 2.122
Ag 4.052 5.251 3.595
Ag 2.734 0.774 1.408
Ag 13.708 0.920 1.984
Ag 6.621 0.587 5.399
Ag 9.532 4.552 2.642
Ag 13.563 2.642 4.308
Ag 2.590 2.497 3.733
Ag 9.677 2.829 0.318
Ag 6.766 -1.135 3.074
Ag 5.440 -3.913 3.238
Ag 10.857 7.330 2.478
Ag 5.513 -0.182 0.478
Ag 11.074 0.148 0.580
Ag 3.791 1.436 6.405
Ag 12.507 1.980 -0.688
```

Computed properties:
density = 7.09 g/cm³
total DFT energy (no corrections) = -2.72 eV/atom
DOS(E_F) = 6.27 states/eV/f.u.
space-group type = Pbam
energy of formation from the pure elements = -0.0179 eV per atom

---

No. 11
Computed, not measured: a geometry-optimized AcPuSe3 structure at the PBE-GGA level of DFT.

Structure (extended XYZ):
```
10
Lattice="4.342 -0.001 0.000 0.002 6.958 0.000 0.000 0.000 9.447" Properties=species:S:1:pos:R:3 pbc="T T T"
Ac 3.257 1.739 1.399
Ac 1.087 5.218 8.048
Pu 3.258 5.218 3.811
Pu 1.086 1.739 5.636
Se 3.258 5.218 0.750
Se 1.086 1.739 8.697
Se 3.258 6.857 6.269
Se 3.257 3.579 6.269
Se 1.086 0.101 3.178
Se 1.086 3.378 3.178
```

Computed properties:
offset from the most stable computed form = 25 meV per atom
density = 8.24 g/cm³
uncorrected formation energy = -1.721 eV per atom
total DFT energy (no corrections) = -7.50 eV/atom
DOS(E_F) = 9.79 states/eV/f.u.
space-group type = Pmmn

---

No. 12
Computed, not measured: a geometry-optimized P2RuNCl structure at the PBE-GGA level of DFT.

Structure (extended XYZ):
```
5
Lattice="-3.672 1.731 -1.922 1.740 -0.818 -4.059 -2.207 -4.686 -0.002" Properties=species:S:1:pos:R:3 pbc="T T T"
Ru 0.000 0.000 0.000
N -2.070 -1.887 -2.992
P 0.870 -0.409 -2.030
P -1.836 0.865 -0.961
Cl -1.104 -2.343 -0.001
```

Computed properties:
offset from the most stable computed form = 152 meV per atom
density = 3.38 g/cm³
uncorrected formation energy = 1.330 eV per atom
total DFT energy (no corrections) = -4.72 eV/atom
DOS(E_F) = 3.24 states/eV/f.u.
space-group type = P4/mmm

---

No. 13
Computed, not measured: a geometry-optimized CsCuH3 structure at the PBE-GGA level of DFT.

Structure (extended XYZ):
```
10
Lattice="-2.620 -5.918 -1.682 -2.929 -3.958 4.526 -4.194 2.105 -0.874" Properties=species:S:1:pos:R:3 pbc="T T T"
Cs -1.353 -1.653 1.148
Cs -5.480 -4.214 1.751
Cu -4.537 -3.792 -1.757
Cu -4.915 -7.994 2.973
H -5.332 -5.206 -1.350
H -4.121 -6.579 2.566
H -5.408 -2.549 -1.102
H -3.311 -3.601 -0.665
H -6.141 -8.184 1.882
H -8.238 -7.132 1.445
```

Computed properties:
offset from the most stable computed form = 1 meV per atom
density = 3.65 g/cm³
total DFT energy (no corrections) = -3.05 eV/atom
DOS(E_F) = 0.40 states/eV/f.u.
space-group type = Cmcm

---

No. 14
Computed, not measured: a geometry-optimized Y2Er5TmSc structure at the PBE-GGA level of DFT.

Structure (extended XYZ):
```
18
Lattice="-4.893 -0.025 2.511 -1.004 -6.211 -8.041 3.012 -7.981 5.789" Properties=species:S:1:pos:R:3 pbc="T T T"
Y -2.680 -11.352 0.687
Y 1.433 -7.283 2.720
Y 0.181 -3.886 0.313
Y -4.404 -6.706 -2.626
Er -2.554 -4.884 -5.025
Er -1.523 -9.325 2.962
Er -1.100 -11.902 -2.261
Er 0.050 -9.359 0.004
Er -4.204 -10.142 -2.271
Er -1.712 -5.673 2.629
Er -0.950 -5.985 -1.910
Er -1.849 -2.147 2.398
Er -3.209 -4.131 -0.272
Er -0.073 -0.384 -0.147
Tm -0.184 -8.785 5.576
Tm -1.447 -8.755 -2.906
Sc -2.992 -7.897 0.114
Sc -1.312 -2.560 -2.582
```

Computed properties:
density = 7.32 g/cm³
total DFT energy (no corrections) = -5.01 eV/atom
DOS(E_F) = 15.10 states/eV/f.u.
space-group type = Cmc2_1
energy of formation from the pure elements = 0.1661 eV per atom

---

No. 15
Computed, not measured: a geometry-optimized Ge3PI structure at the PBE-GGA level of DFT.

Structure (extended XYZ):
```
5
Lattice="5.447 0.000 0.000 0.000 5.447 0.000 0.000 0.000 5.447" Properties=species:S:1:pos:R:3 pbc="T T T"
I 0.000 0.000 0.000
P 2.723 2.723 2.723
Ge 0.000 2.723 0.000
Ge 0.000 0.000 2.723
Ge 2.723 0.000 0.000
```

Computed properties:
offset from the most stable computed form = 908 meV per atom
density = 3.86 g/cm³
uncorrected formation energy = 1.510 eV per atom
total DFT energy (no corrections) = -2.65 eV/atom
DOS(E_F) = 3.62 states/eV/f.u.
space-group type = Pm-3m